# 1
First-principles (PBE-GGA) data for an optimized crystal structure of Y2IrAu, as listed in Alexandria via LeMat-Bulk.

Values from the calculation:
**VASP energy**: -0.4876 Ry per atom
**Crystal system**: tetragonal
**ΔH_f (0 K)**: -0.368 eV/atom
**N(E_F)**: 1.3 states/eV/f.u.

The structure in POSCAR format:
```
Y2IrAu
1.0
-4.648 5.437 3.011
-3.393 -5.370 4.458
-1.928 0.577 5.983
Y Ir Au
4 2 2
direct
0.602 0.125 0.250
0.148 0.625 0.250
0.375 0.398 0.750
0.875 0.852 0.750
0.500 0.500 0.000
0.250 0.750 0.500
0.000 0.000 0.000
0.750 0.250 0.500
```

---

# 2
First-principles (PBE-GGA) data for an optimized crystal structure of AcYHg4, as listed in Alexandria via LeMat-Bulk.

Values from the calculation:
**VASP energy**: -0.1642 Ry per atom
**Offset from the most stable computed form**: 0.1379 eV per atom
**Crystal system**: cubic
**ΔH_f (0 K)**: -0.270 eV/atom
**N(E_F)**: 1.8 states/eV/f.u.

The structure in POSCAR format:
```
AcYHg4
1.0
-2.513 1.614 5.327
0.355 -3.753 4.805
3.564 1.443 4.745
Y Ac Hg
1 1 4
direct
0.000 0.000 0.000
0.250 0.250 0.250
0.625 0.625 0.124
0.625 0.124 0.625
0.625 0.625 0.625
0.124 0.625 0.625
```

---

# 3
First-principles (PBE-GGA) data for an optimized crystal structure of SiPtS2N, as listed in Alexandria via LeMat-Bulk.

Values from the calculation:
**VASP energy**: -0.3751 Ry per atom
**Raw formation energy**: 49 kJ/mol of atoms
**Offset from the most stable computed form**: 0.0000 eV per atom
**Crystal system**: tetragonal
**N(E_F)**: 3.8 states/eV/f.u.

The structure in POSCAR format:
```
SiPtS2N
1.0
-2.788 -2.721 2.714
3.382 -0.145 3.329
-1.242 2.645 1.376
S Si Pt N
2 1 1 1
direct
0.000 0.500 0.000
0.500 0.000 0.000
0.000 0.000 0.000
0.500 0.500 0.500
0.000 0.000 0.500
```

---

# 4
First-principles (PBE-GGA) data for an optimized crystal structure of TaZnRh, as listed in Alexandria via LeMat-Bulk.

Values from the calculation:
**VASP energy**: -0.4764 Ry per atom
**Crystal system**: cubic
**ΔH_f (0 K)**: 0.344 eV/atom
**N(E_F)**: 3.7 states/eV/f.u.

The structure in POSCAR format:
```
TaZnRh
1.0
-1.066 -2.568 -3.267
3.054 -2.090 -2.171
0.387 -4.254 0.401
Rh Ta Zn
1 1 1
direct
0.500 0.500 0.500
0.750 0.750 0.750
0.000 0.000 0.000
```